(1)
A relaxed K2TaIn crystal. Source: Alexandria, functional GGA-PBE.

a = 3.0408 Å, b = 3.0408 Å, c = 12.5586 Å
α = 90.00°, β = 90.00°, γ = 90.00°
Last column: nearest neighbours and their distance in Å.
Fractional coordinates of all 4 atoms:
K  0.0000  0.0000  0.2482  4 K 3.04
K  0.0000  0.0000  0.7518  4 K 3.04
Ta  0.5000  0.5000  0.0000  4 Ta 3.04
In  0.5000  0.5000  0.5000  4 In 3.04

Results
Formation enthalpy at 0 K, eV per atom: 0.9130
Space group: P4/mmm
Total magnetization, μB/cell: 0.67

(2)
A relaxed K3TaIn crystal. Source: Alexandria, functional GGA-PBE.

a = 6.5253 Å, b = 6.5253 Å, c = 6.5253 Å
α = 90.00°, β = 90.00°, γ = 90.00°
Last column: nearest neighbours and their distance in Å.
Fractional coordinates of all 5 atoms:
K  0.0000  0.0000  0.5000  2 In 3.26
K  0.0000  0.5000  0.0000  2 In 3.26
K  0.5000  0.0000  0.0000  2 In 3.26
Ta  0.5000  0.5000  0.5000  12 K 4.61
In  0.0000  0.0000  0.0000  6 K 3.26

Results
Formation enthalpy at 0 K, eV per atom: 1.4818
Energy above the lowest structure with this stoichiometry, meV per atom: 44
Space group: Pm-3m
Total magnetization, μB/cell: 3.76